Record 1
Computed, not measured: a relaxed SiHgCl2 crystal at the PBE-GGA level of DFT.

Output
- DFT total energy (eV/atom) = -2.41
- total moment (μB per formula unit) = 0.00
- calculated density (g/cm³) = 4.864
- formation energy from raw total energies (kcal/mol of atoms) = -1.22

```
SiHgCl2
1.0
1.8905 -3.0633 0.0000
1.8905 3.0633 0.0000
0.0000 0.0000 8.8299
Si Hg Cl
1 1 2
Direct
0.0000 0.0000 0.0000
0.5000 0.5000 0.2285
0.0000 0.0000 0.4344
0.5000 0.5000 0.8134
```

Record 2
Computed, not measured: a relaxed HoEr6Cd crystal at the PBE-GGA level of DFT.

Output
- DFT total energy (eV/atom) = -4.05
- total moment (μB per formula unit) = 0.00
- calculated density (g/cm³) = 8.879
- formation enthalpy at 0 K (kJ/mol of formula units) = 45

```
HoEr6Cd
1.0
4.5734 2.6404 3.3069
-4.5734 2.6404 3.3069
0.0000 -5.2809 3.3069
Ho Er Cd
1 6 1
Direct
0.0000 0.0000 0.0000
0.0494 0.5405 0.2581
0.2581 0.0494 0.5405
0.4595 0.7419 0.9506
0.5405 0.2581 0.0494
0.7419 0.9506 0.4595
0.9506 0.4595 0.7419
0.5000 0.5000 0.5000
```

Record 3
Computed, not measured: a relaxed CoSiRh2 crystal at the PBE-GGA level of DFT.

Output
- DFT total energy (eV/atom) = -7.21
- total moment (μB per formula unit) = 2.24
- calculated density (g/cm³) = 9.486
- formation energy from raw total energies (kcal/mol of atoms) = -9.30

```
CoSiRh2
1.0
-1.9585 1.9585 3.3408
1.9585 -1.9585 3.3408
1.9585 1.9585 -3.3408
Co Si Rh
1 1 2
Direct
0.0000 0.0000 0.0000
0.5000 0.5000 0.0000
0.2500 0.7500 0.5000
0.7500 0.2500 0.5000
```

Record 4
Computed, not measured: a relaxed ScAlTe2 crystal at the PBE-GGA level of DFT.

Output
- DFT total energy (eV/atom) = -4.07
- total moment (μB per formula unit) = 0.20
- calculated density (g/cm³) = 5.357
- formation energy from raw total energies (kcal/mol of atoms) = 0.56

```
ScAlTe2
1.0
0.0000 3.7012 3.7012
3.7012 0.0000 3.7012
3.7012 3.7012 0.0000
Sc Al Te
1 1 2
Direct
0.0000 0.0000 0.0000
0.2500 0.2500 0.2500
0.5000 0.5000 0.5000
0.7500 0.7500 0.7500
```